(1)
{"formula": "KTaNiAu2", "functional": "PBE-GGA", "state": "optimized geometry", "formation_enthalpy_0k_ev_per_atom": 2.579, "magmom_total_mub_per_fu": 0.0, "spacegroup": "No. 123", "lattice_angstrom": [[-4.7659, -1.6729, -0.4633], [1.6229, -4.6666, 0.1560], [-0.4902, -0.0018, 5.0484]], "species": ["Ni", "K", "Au", "Au", "Ta"], "fractional_positions": [[0.5000, 0.5000, 0.5000], [0.0000, 0.0000, 0.0000], [0.0000, 0.0000, 0.5000], [0.5000, 0.0000, 0.0000], [0.0000, 0.5000, 0.0000]]}

(2)
{"formula": "KVNiAu2", "functional": "PBE-GGA", "state": "optimized geometry", "formation_enthalpy_0k_ev_per_atom": 1.281, "magmom_total_mub_per_fu": 3.2, "spacegroup": "No. 123", "lattice_angstrom": [[5.0044, 0.0000, 0.0000], [0.0000, 5.8071, 0.0000], [0.0000, 0.0000, 5.0044]], "species": ["Ni", "K", "Au", "Au", "V"], "fractional_positions": [[0.5000, 0.5000, 0.5000], [0.0000, 0.5000, 0.0000], [0.0000, 0.0000, 0.5000], [0.5000, 0.0000, 0.0000], [0.0000, 0.0000, 0.0000]]}

(3)
{"formula": "K2YNiAu", "functional": "PBE-GGA", "state": "optimized geometry", "formation_enthalpy_0k_ev_per_atom": 0.727, "magmom_total_mub_per_fu": 0.0, "spacegroup": "No. 123", "lattice_angstrom": [[-4.1466, 0.6985, -4.2124], [-3.2336, -2.6397, 2.7454], [-1.8418, 5.0050, 2.6429]], "species": ["Y", "Ni", "K", "K", "Au"], "fractional_positions": [[0.5000, 0.5000, 0.5000], [0.0000, 0.5000, 0.0000], [0.0000, 0.0000, 0.5000], [0.5000, 0.0000, 0.0000], [0.0000, 0.0000, 0.0000]]}